Computed, not measured: CoWAu2 after structural relaxation at the GGA-PBE level of DFT.

## Properties
Density   16.67 Mg/m³
Crystal system   orthorhombic
Calculated formation energy   0.400 eV/atom
Offset from the most stable computed form   218 meV per atom
Total moment   0.00 μB per formula unit
DOS at the Fermi energy   3.7 states/eV/f.u.

a b c (Å): 5.360 5.360 5.360
angles (deg): 147.81 128.66 61.90
Sites, in units of the cell vectors:
Au 0.991 0.991 0.000
Au 0.274 0.774 0.500
Co 0.519 0.519 0.000
W 0.715 0.215 0.500